DFT (PBE-GGA) results for Zr6Sn3As after structural relaxation.

Values from the calculation:
Its energy relative to the elements is -0.432 eV per atom. As for the space-group type: P2_1/c (14). For the total energy, the calculation gives -7.23 eV per atom.

Cell and atoms, written as POSCAR:
```
Zr6Sn3As
1.0
-6.049 -0.069 2.729
-3.141 -0.345 -6.972
0.154 -9.314 0.391
Zr Sn As
12 6 2
Direct
0.643 0.154 0.946 Zr
0.625 0.178 0.557 Zr
0.713 0.445 0.260 Zr
0.287 0.555 0.740 Zr
0.375 0.822 0.443 Zr
0.357 0.846 0.054 Zr
0.143 0.346 0.446 Zr
0.125 0.322 0.057 Zr
0.213 0.055 0.760 Zr
0.787 0.945 0.240 Zr
0.875 0.678 0.943 Zr
0.857 0.654 0.554 Zr
0.581 0.858 0.748 Sn
0.500 0.500 0.000 Sn
0.419 0.142 0.252 Sn
0.081 0.642 0.248 Sn
0.000 0.000 0.500 Sn
0.919 0.358 0.752 Sn
0.500 0.500 0.500 As
0.000 0.000 0.000 As
```